Arrangement a

{
  "formula": "NdThIrPt",
  "functional": "PBE",
  "state": "optimized geometry",
  "lattice_angstrom": [[3.912, 0.000, 0.000], [0.000, 4.317, 0.000], [-1.956, 0.000, 5.674]],
  "species": ["Pt", "Th", "Ir", "Nd"],
  "fractional_positions": [[0.590, 0.500, 0.180], [0.866, 0.500, 0.732], [0.403, 0.000, 0.805], [0.141, 0.000, 0.283]],
  "volume_a3_per_cell": 96
}

Arrangement b

{
  "formula": "NdThIrPt",
  "functional": "PBE",
  "state": "optimized geometry",
  "lattice_angstrom": [[5.075, 0.000, 0.000], [2.538, 4.395, 0.000], [2.538, 1.465, 4.144]],
  "species": ["Nd", "Pt", "Th", "Ir"],
  "fractional_positions": [[0.500, 0.500, 0.500], [0.750, 0.750, 0.750], [0.000, 0.000, 0.000], [0.250, 0.250, 0.250]],
  "volume_a3_per_cell": 92
}

On energetic grounds, arrangement a is preferred over the next structure by 19.9 kJ/mol of atoms.